Entry 1:
Entry from the Alexandria database: a relaxed structure of NdSi2TcIr (PBE).

```
5
Lattice="-1.046 2.756 -3.043 -2.673 -2.840 -1.654 -1.762 1.799 5.184" Properties=species:S:1:pos:R:3 pbc="T T T"
Ir -3.147 -0.542 0.591
Tc -2.334 2.256 -0.103
Si -2.814 0.421 -1.601
Nd 0.000 0.000 0.000
Si -2.667 1.293 2.088
```

Total DFT energy (no corrections) in eV per cell: -39.211
Energy relative to the elements, uncorrected in eV/f.u.: -4.37
Crystal system: tetragonal
Total magnetization in μB/f.u.: 0.00
Space group: I-4m2

Entry 2:
Entry from the Alexandria database: a relaxed structure of Nd2Th2SiIr4 (PBE).

```
9
Lattice="-6.209 2.004 1.119 1.839 -2.467 -5.861 2.399 -5.530 2.736" Properties=species:S:1:pos:R:3 pbc="T T T"
Nd -0.845 -3.762 1.146
Ir 1.984 -3.259 -3.638
Ir 0.145 -4.961 -1.777
Th 2.922 -5.513 -2.155
Ir 2.255 -4.738 0.513
Th 1.316 -2.484 -0.971
Ir -2.115 -1.031 -0.230
Si 0.000 0.000 0.000
Nd -1.125 -2.231 -3.152
```

Total DFT energy (no corrections) in eV per cell: -68.792
Energy relative to the elements, uncorrected in eV/f.u.: -3.55
Crystal system: tetragonal
Total magnetization in μB/f.u.: 0.00
Space group: I4/mmm

What did the second record say?
Entry from the Alexandria database: a relaxed structure of Nd2Th2SiIr4 (PBE).

```
9
Lattice="-6.209 2.004 1.119 1.839 -2.467 -5.861 2.399 -5.530 2.736" Properties=species:S:1:pos:R:3 pbc="T T T"
Nd -0.845 -3.762 1.146
Ir 1.984 -3.259 -3.638
Ir 0.145 -4.961 -1.777
Th 2.922 -5.513 -2.155
Ir 2.255 -4.738 0.513
Th 1.316 -2.484 -0.971
Ir -2.115 -1.031 -0.230
Si 0.000 0.000 0.000
Nd -1.125 -2.231 -3.152
```

Total DFT energy (no corrections) in eV per cell: -68.792
Energy relative to the elements, uncorrected in eV/f.u.: -3.55
Crystal system: tetragonal
Total magnetization in μB/f.u.: 0.00
Space group: I4/mmm

Repeat the second record exactly.
Entry from the Alexandria database: a relaxed structure of Nd2Th2SiIr4 (PBE).

```
9
Lattice="-6.209 2.004 1.119 1.839 -2.467 -5.861 2.399 -5.530 2.736" Properties=species:S:1:pos:R:3 pbc="T T T"
Nd -0.845 -3.762 1.146
Ir 1.984 -3.259 -3.638
Ir 0.145 -4.961 -1.777
Th 2.922 -5.513 -2.155
Ir 2.255 -4.738 0.513
Th 1.316 -2.484 -0.971
Ir -2.115 -1.031 -0.230
Si 0.000 0.000 0.000
Nd -1.125 -2.231 -3.152
```

Total DFT energy (no corrections) in eV per cell: -68.792
Energy relative to the elements, uncorrected in eV/f.u.: -3.55
Crystal system: tetragonal
Total magnetization in μB/f.u.: 0.00
Space group: I4/mmm